1.
Below is a geometry-optimized PuAgPtPb structure, with properties calculated at the PBE level.

Properties
For the total magnetization, the calculation gives 5.3 μB per cell. The total energy is -6.96 eV per atom. The energy of formation comes out at -0.9 eV per formula unit.

Cell: 5.009 5.009 5.009 Å, 60.00 60.00 60.00°
Last column: magnetic moment on the atom in μB.
Sites, in units of the cell vectors:
Pt: 0.000 0.000 0.000  -0.08
Pu: 0.750 0.750 0.750  5.18
Pb: 0.250 0.250 0.250  -0.01
Ag: 0.500 0.500 0.500  0.02


2.
Below is a geometry-optimized RbAgPt2Pb structure, with properties calculated at the PBE level.

Properties
For the total magnetization, the calculation gives 0.0 μB per cell. The total energy is -3.12 eV per atom. The energy of formation comes out at 4.0 eV per formula unit.

Cell: 5.158 5.394 5.158 Å, 90.00 90.00 90.00°
Sites, in units of the cell vectors:
Pt: 0.500 0.000 0.000
Pb: 0.500 0.500 0.500
Ag: 0.000 0.000 0.000
Pt: 0.000 0.000 0.500
Rb: 0.000 0.500 0.000


3.
Below is a geometry-optimized ReAg2PtPb structure, with properties calculated at the PBE level.

Properties
For the total magnetization, the calculation gives 2.0 μB per cell. The total energy is -4.49 eV per atom. The energy of formation comes out at 5.4 eV per formula unit.

Cell: 5.123 4.808 5.123 Å, 90.00 90.00 90.00°
Last column: magnetic moment on the atom in μB.
Sites, in units of the cell vectors:
Pt: 0.000 0.000 0.000  0.06
Re: 0.000 0.500 0.000  1.74
Ag: 0.500 0.000 0.000  0.02
Pb: 0.500 0.500 0.500  -0.07
Ag: 0.000 0.000 0.500  0.02


4.
Below is a geometry-optimized AgPtRhPb structure, with properties calculated at the PBE level.

Properties
For the total magnetization, the calculation gives 0.0 μB per cell. The total energy is -4.94 eV per atom. The energy of formation comes out at 0.2 eV per formula unit.

Cell: 4.646 4.646 4.646 Å, 60.00 60.00 60.00°
Sites, in units of the cell vectors:
Ag: 0.500 0.500 0.500
Pb: 0.000 0.000 0.000
Pt: 0.750 0.750 0.750
Rh: 0.250 0.250 0.250


5.
Below is a geometry-optimized ScAgPtPb structure, with properties calculated at the PBE level.

Properties
For the total magnetization, the calculation gives 0.0 μB per cell. The total energy is -5.17 eV per atom. The energy of formation comes out at -1.8 eV per formula unit.

Cell: 4.827 4.827 4.827 Å, 60.00 60.00 60.00°
Sites, in units of the cell vectors:
Pt: 0.750 0.750 0.750
Pb: 0.000 0.000 0.000
Ag: 0.250 0.250 0.250
Sc: 0.500 0.500 0.500


6.
Below is a geometry-optimized Sc2AgPtPb structure, with properties calculated at the PBE level.

Properties
For the total magnetization, the calculation gives 0.0 μB per cell. The total energy is -5.07 eV per atom. The energy of formation comes out at -0.1 eV per formula unit.

Cell: 5.106 5.106 5.225 Å, 90.00 90.00 90.00°
Sites, in units of the cell vectors:
Ag: 0.500 0.500 0.500
Pb: 0.000 0.000 0.500
Sc: 0.000 0.500 0.000
Sc: 0.500 0.000 0.000
Pt: 0.000 0.000 0.000


7.
Below is a geometry-optimized Si2AgPtPb structure, with properties calculated at the PBE level.

Properties
For the total magnetization, the calculation gives 0.0 μB per cell. The formation energy (no corrections) is 259 meV/atom. The total energy is -4.43 eV per atom.

Cell: 4.649 5.311 4.649 Å, 90.00 90.00 90.00°
Sites, in units of the cell vectors:
Pt: 0.000 0.000 0.000
Si: 0.500 0.000 0.000
Pb: 0.500 0.500 0.500
Ag: 0.000 0.500 0.000
Si: 0.000 0.000 0.500


8.
Below is a geometry-optimized Si3AgPt12Pb2 structure, with properties calculated at the PBE level.

Properties
For the total magnetization, the calculation gives 0.0 μB per cell. The formation energy (no corrections) is -166 meV/atom. The total energy is -5.67 eV per atom.

Cell: 7.413 7.413 7.413 Å, 68.76 68.76 68.76°
Sites, in units of the cell vectors:
Pt: 0.894 0.359 0.359
Pb: 0.603 0.603 0.603
Pt: 0.149 0.149 0.612
Ag: 0.000 0.000 0.000
Si: 0.000 0.500 0.000
Pt: 0.851 0.388 0.851
Pt: 0.149 0.612 0.149
Pt: 0.359 0.359 0.894
Pt: 0.641 0.641 0.106
Pt: 0.106 0.641 0.641
Pt: 0.359 0.894 0.359
Pt: 0.851 0.851 0.388
Pt: 0.388 0.851 0.851
Pt: 0.641 0.106 0.641
Si: 0.500 0.000 0.000
Si: 0.000 0.000 0.500
Pb: 0.397 0.397 0.397
Pt: 0.612 0.149 0.149